Entry from Alexandria via LeMat-Bulk: an optimized crystal structure of Zn2Pt3 (GGA-PBE).

Properties
* E above lowest polymorph: 82 meV per atom
* DFT formation energy: -0.377 eV/atom
* raw total energy: -4.51 eV per atom

Cell and atoms, written as CIF:
```
data_Zn2Pt3
_chemical_formula_sum 'Zn16 Pt24'
_cell_length_a 9.592
_cell_length_b 13.059
_cell_length_c 4.842
_cell_angle_alpha 90.00
_cell_angle_beta 90.00
_cell_angle_gamma 90.00
_symmetry_space_group_name_H-M 'F d d 2'
_symmetry_Int_Tables_number 43
_symmetry_space_group_name_Hall 'F 2 -2d'
loop_
_atom_site_label
_atom_site_type_symbol
_atom_site_fract_x
_atom_site_fract_y
_atom_site_fract_z
Zn1 Zn 0.031 0.201 0.000
Pt1 Pt 0.000 0.000 0.043
Pt2 Pt 0.053 0.103 0.530
```

Entry from Alexandria via LeMat-Bulk: an optimized crystal structure of ThBi2Pb (GGA-PBE).

Properties
* E above lowest polymorph: 0 meV per atom
* DFT formation energy: -0.327 eV/atom
* raw total energy: -5.05 eV per atom

Cell and atoms, written as CIF:
```
data_ThBi2Pb
_chemical_formula_sum 'Th1 Bi2 Pb1'
_cell_length_a 5.276
_cell_length_b 5.276
_cell_length_c 4.388
_cell_angle_alpha 90.00
_cell_angle_beta 90.00
_cell_angle_gamma 90.00
_symmetry_space_group_name_H-M 'P 4/m m m'
_symmetry_Int_Tables_number 123
_symmetry_space_group_name_Hall '-P 4 2'
loop_
_atom_site_label
_atom_site_type_symbol
_atom_site_fract_x
_atom_site_fract_y
_atom_site_fract_z
Th1 Th 0.000 0.000 0.000
Bi1 Bi 0.000 0.500 0.500
Pb1 Pb 0.500 0.500 0.000
```

Entry from Alexandria via LeMat-Bulk: an optimized crystal structure of Tm2HgRuC (GGA-PBE).

Properties
* DFT formation energy: -0.482 eV/atom
* raw total energy: -6.03 eV per atom

Cell and atoms, written as CIF:
```
data_Tm2HgRuC
_chemical_formula_sum 'Tm2 Hg1 Ru1 C1'
_cell_length_a 4.927
_cell_length_b 4.927
_cell_length_c 3.923
_cell_angle_alpha 90.00
_cell_angle_beta 90.00
_cell_angle_gamma 90.00
_symmetry_space_group_name_H-M 'P 4/m m m'
_symmetry_Int_Tables_number 123
_symmetry_space_group_name_Hall '-P 4 2'
loop_
_atom_site_label
_atom_site_type_symbol
_atom_site_fract_x
_atom_site_fract_y
_atom_site_fract_z
Tm1 Tm 0.000 0.500 0.000
Hg1 Hg 0.000 0.000 0.500
Ru1 Ru 0.500 0.500 0.500
C1 C 0.500 0.500 0.000
```